## KMgFeP2O8 (PBE+U)

Data for a relaxed structure of KMgFeP2O8.

Structure (POSCAR):
```
KMgFeP2O8
1.0
9.488 -2.731 0.000
9.488 2.731 0.000
-4.751 0.000 8.251
K Mg Fe P O
2 2 2 4 16
direct
0.250 0.750 0.500 K
0.750 0.250 0.000 K
0.170 0.548 0.023 Mg
0.548 0.170 0.523 Mg
0.461 0.865 0.000 Fe
0.865 0.461 0.500 Fe
0.062 0.680 0.705 P
0.354 0.949 0.318 P
0.680 0.062 0.205 P
0.949 0.354 0.818 P
0.037 0.448 0.907 O
0.066 0.168 0.334 O
0.168 0.066 0.834 O
0.170 0.640 0.883 O
0.269 0.530 0.619 O
0.367 0.862 0.133 O
0.448 0.037 0.407 O
0.518 0.715 0.387 O
0.530 0.269 0.119 O
0.573 0.976 0.116 O
0.640 0.170 0.383 O
0.715 0.518 0.887 O
0.826 0.969 0.696 O
0.862 0.367 0.633 O
0.969 0.826 0.196 O
0.976 0.573 0.616 O
```

Summary:
calculated volume = 16.45 A^3/atom
space-group type = Cc, No. 9
magnetization = 10.04 μB/cell
total DFT energy (no corrections) = -6.80 eV per atom